Here is LiFeF4 after structural relaxation from the Alexandria database. Energies are from PBE with a Hubbard U.

Summary:
- energy above the lowest structure with this stoichiometry (meV/atom) = 47.3

Lattice parameters (Å, degrees): 11.2002 5.6798 4.9287 90.00 90.00 90.00
Positions (direct):
Li 0.0686 0.2500 0.1146
Li 0.4314 0.7500 0.6146
Li 0.5686 0.2500 0.3854
Li 0.9314 0.7500 0.8854
Fe 0.2427 0.7500 0.0579
Fe 0.2573 0.2500 0.5579
Fe 0.7427 0.7500 0.4421
Fe 0.7573 0.2500 0.9421
F 0.0953 0.7500 0.8790
F 0.1140 0.2500 0.7512
F 0.1832 0.0196 0.2863
F 0.1832 0.4804 0.2863
F 0.3168 0.5196 0.7863
F 0.3168 0.9804 0.7863
F 0.3860 0.7500 0.2512
F 0.4047 0.2500 0.3790
F 0.5953 0.7500 0.6210
F 0.6140 0.2500 0.7488
F 0.6832 0.0196 0.2137
F 0.6832 0.4804 0.2137
F 0.8168 0.5196 0.7137
F 0.8168 0.9804 0.7137
F 0.8860 0.7500 0.2488
F 0.9047 0.2500 0.1210